Record 1
VASP calculation (GGA-PBE) on a relaxed TlTe2IO crystal.

POSCAR file:
```
TlTe2IO
1.0
5.911 0.000 0.000
0.000 5.911 0.000
0.000 0.000 6.004
Tl Te I O
1 2 1 1
Cartesian
0.000 0.000 0.000
0.000 2.956 0.000
2.956 0.000 0.000
0.000 0.000 3.002
2.956 2.956 3.002
```

Output
**Formation energy (no corrections)**: 1151 meV/atom
**Total DFT energy (no corrections)**: -9.40 eV for the cell shown
**Density**: 4.8 g/cm³
**M_tot**: 0.47 μB/atom
**D(E_F)**: 18.29 states/eV per cell
**Crystal system**: tetragonal

=====

Record 2
VASP calculation (GGA-PBE) on a relaxed Tl2TeIO6 crystal.

POSCAR file:
```
Tl2TeIO6
1.0
5.103 0.000 0.000
0.033 5.672 0.000
1.447 2.569 5.729
Tl Te I O
2 1 1 6
Cartesian
1.993 2.659 2.823
4.591 5.583 2.906
2.551 0.000 0.000
0.017 2.836 0.000
1.765 5.777 1.727
2.703 6.921 4.976
2.856 4.030 4.924
3.727 4.212 0.805
3.880 1.320 0.753
4.818 2.465 4.002
```

Output
**Formation energy (no corrections)**: -623 meV/atom
**Total DFT energy (no corrections)**: -45.41 eV for the cell shown
**Density**: 7.6 g/cm³
**M_tot**: 0.00 μB/atom
**D(E_F)**: 3.61 states/eV per cell
**Crystal system**: triclinic

=====

Record 3
VASP calculation (GGA-PBE) on a relaxed TlTeIO2 crystal.

POSCAR file:
```
TlTeIO2
1.0
4.276 0.000 0.000
0.000 4.276 0.000
0.000 0.000 7.768
Tl Te I O
1 1 1 2
Cartesian
0.000 0.000 0.000
2.138 2.138 3.884
0.000 0.000 3.884
0.000 2.138 0.000
2.138 0.000 0.000
```

Output
**Formation energy (no corrections)**: 321 meV/atom
**Total DFT energy (no corrections)**: -15.37 eV for the cell shown
**Density**: 5.7 g/cm³
**M_tot**: 0.00 μB/atom
**D(E_F)**: 7.44 states/eV per cell
**Crystal system**: tetragonal

=====

Record 4
VASP calculation (GGA-PBE) on a relaxed TmTeIO4 crystal.

POSCAR file:
```
TmTeIO4
1.0
5.678 -3.503 0.000
5.678 3.503 0.000
-1.846 0.000 6.663
Tm Te I O
2 2 2 8
Cartesian
2.096 0.000 2.453
7.413 0.000 4.210
0.057 0.000 5.087
9.452 0.000 1.576
4.277 0.000 5.018
5.232 0.000 1.645
1.134 1.317 4.239
-0.109 0.000 2.044
2.200 0.000 0.243
1.134 -1.317 4.239
8.376 1.317 2.424
7.310 0.000 6.420
9.618 0.000 4.619
8.376 -1.317 2.424
```

Output
**Formation energy (no corrections)**: -1585 meV/atom
**Total DFT energy (no corrections)**: -80.19 eV for the cell shown
**Density**: 6.1 g/cm³
**M_tot**: 0.00 μB/atom
**D(E_F)**: 4.38 states/eV per cell
**Crystal system**: monoclinic